Arrangement w

Density functional theory data (PBE) for crystalline Pu2Ni5Ge3 at its relaxed geometry.

Results
DOS at the Fermi energy   46.4 states/eV per cell

Cell lengths 4.0764, 6.8293, 11.4855 Å; angles 90.00, 100.22, 90.00 degrees
Element x y z (fractional)
Ni 0.2718 0.4771 0.5436
Ni 0.6181 0.0816 0.2361
Ge 0.7619 0.6530 0.5238
Ge 0.9396 0.5706 0.8792
Ni 0.0462 0.4649 0.0924
Ni 0.7098 0.3476 0.4196
Pu 0.8417 0.2544 0.6833
Ge 0.6090 0.4522 0.2180
Ge 0.0604 0.0706 0.1208
Pu 0.5205 0.7731 0.0410
Ni 0.9538 0.9649 0.9076
Pu 0.4795 0.2731 0.9590
Pu 0.1583 0.7544 0.3167
Ge 0.2381 0.1530 0.4762
Ni 0.2902 0.8476 0.5804
Ge 0.3910 0.9522 0.7820
Ni 0.3819 0.5816 0.7639
Ni 0.1428 0.2904 0.2857
Ni 0.7282 0.9771 0.4564
Ni 0.8572 0.7904 0.7143


Arrangement x

Density functional theory data (PBE) for crystalline Pu2Ni5Ge3 at its relaxed geometry.

Results
DOS at the Fermi energy   22.6 states/eV per cell

Cell lengths 3.8819, 3.8819, 10.6883 Å; angles 90.00, 90.00, 90.00 degrees
Element x y z (fractional)
Pu 0.5000 0.0000 0.2144
Ni 0.0000 0.5000 0.1342
Ge 0.0000 0.5000 0.3499
Ge 0.5000 0.0000 0.6501
Ni 0.5000 0.5000 0.0000
Ni 0.5000 0.0000 0.8658
Ni 0.5000 0.5000 0.5000
Ni 0.0000 0.0000 0.0000
Pu 0.0000 0.5000 0.7856
Ge 0.0000 0.0000 0.5000


Pick the least stable structure from those above. Pick: arrangement x